DFT (PBE) results for a relaxed RbAlSi3 crystal.

Summary:
* energy: -1.92 eV per atom
* volume: 175.1 Å³/f.u.
* uncorrected formation energy: 2.27 eV per atom
* calculated density: 1865 kg/m³

CIF file:
```
data_RbAlSi3
_chemical_formula_sum 'Rb1 Al1 Si3'
_symmetry_space_group_name_H-M 'P m -3 m'
_symmetry_Int_Tables_number 221
_symmetry_space_group_name_Hall '-P 4 2 3'
_cell_length_a 5.595
_cell_length_b 5.595
_cell_length_c 5.595
_cell_angle_alpha 90.00
_cell_angle_beta 90.00
_cell_angle_gamma 90.00
loop_
_atom_site_label
_atom_site_fract_x
_atom_site_fract_y
_atom_site_fract_z
Rb1 0.000 0.000 0.000
Al1 0.500 0.500 0.500
Si1 0.000 0.000 0.500
```

=====

DFT (PBE) results for a relaxed RbAlSi crystal.

Summary:
* energy: -3.01 eV per atom
* volume: 117.1 Å³/f.u.
* uncorrected formation energy: 0.36 eV per atom
* calculated density: 1994 kg/m³

CIF file:
```
data_RbAlSi
_chemical_formula_sum 'Rb4 Al4 Si4'
_symmetry_space_group_name_H-M 'P 41 2 2'
_symmetry_Int_Tables_number 91
_cell_length_a 6.035
_cell_length_b 6.035
_cell_length_c 12.854
_cell_angle_alpha 90.00
_cell_angle_beta 90.00
_cell_angle_gamma 90.00
loop_
_symmetry_equiv_pos_as_xyz
'x,y,z'
'-y,x,z+1/4'
'-x,-y,z+1/2'
'y,-x,z+3/4'
'x,-y,-z+1/2'
'-y,-x,-z+1/4'
'-x,y,-z'
'y,x,-z+3/4'
loop_
_atom_site_label
_atom_site_fract_x
_atom_site_fract_y
_atom_site_fract_z
Rb1 0.000 0.230 0.000
Al1 0.366 0.366 0.375
Si1 0.113 0.500 0.250
```

=====

DFT (PBE) results for a relaxed RbAlSi crystal.

Summary:
* energy: -3.25 eV per atom
* volume: 103.4 Å³/f.u.
* uncorrected formation energy: 0.13 eV per atom
* calculated density: 2256 kg/m³

CIF file:
```
data_RbAlSi
_chemical_formula_sum 'Rb2 Al2 Si2'
_symmetry_space_group_name_H-M 'P 1'
_symmetry_Int_Tables_number 1
_cell_length_a 3.747
_cell_length_b 4.942
_cell_length_c 11.534
_cell_angle_alpha 101.98
_cell_angle_beta 97.94
_cell_angle_gamma 90.00
loop_
_symmetry_equiv_pos_as_xyz
'x,y,z'
loop_
_atom_site_label
_atom_site_fract_x
_atom_site_fract_y
_atom_site_fract_z
Rb1 0.000 0.000 0.000
Rb2 0.256 0.302 0.604
Al1 0.576 0.579 0.177
Al2 0.628 0.103 0.301
Si1 0.136 0.464 0.320
Si2 0.682 0.732 0.429
```

=====

DFT (PBE) results for a relaxed RbAlSi crystal.

Summary:
* energy: -3.26 eV per atom
* volume: 96.1 Å³/f.u.
* uncorrected formation energy: 0.11 eV per atom
* calculated density: 2428 kg/m³

CIF file:
```
data_RbAlSi
_chemical_formula_sum 'Rb2 Al2 Si2'
_symmetry_space_group_name_H-M 'P 1'
_symmetry_Int_Tables_number 1
_cell_length_a 4.207
_cell_length_b 4.239
_cell_length_c 10.784
_cell_angle_alpha 89.48
_cell_angle_beta 88.98
_cell_angle_gamma 89.80
loop_
_symmetry_equiv_pos_as_xyz
'x,y,z'
loop_
_atom_site_label
_atom_site_fract_x
_atom_site_fract_y
_atom_site_fract_z
Rb1 0.000 0.000 0.000
Rb2 0.493 0.496 0.379
Al1 0.015 0.488 0.704
Al2 0.982 0.991 0.551
Si1 0.477 0.002 0.704
Si2 0.514 0.507 0.840
```

=====

DFT (PBE) results for a relaxed RbAlSi crystal.

Summary:
* energy: -3.29 eV per atom
* volume: 100.5 Å³/f.u.
* uncorrected formation energy: 0.08 eV per atom
* calculated density: 2322 kg/m³

CIF file:
```
data_RbAlSi
_chemical_formula_sum 'Rb2 Al2 Si2'
_symmetry_space_group_name_H-M 'P 1'
_symmetry_Int_Tables_number 1
_cell_length_a 4.302
_cell_length_b 4.302
_cell_length_c 12.404
_cell_angle_alpha 80.26
_cell_angle_beta 80.37
_cell_angle_gamma 63.26
loop_
_symmetry_equiv_pos_as_xyz
'x,y,z'
loop_
_atom_site_label
_atom_site_fract_x
_atom_site_fract_y
_atom_site_fract_z
Rb1 0.000 0.000 0.000
Rb2 0.360 0.367 0.367
Al1 0.724 0.726 0.784
Al2 0.970 0.975 0.597
Si1 0.393 0.395 0.762
Si2 0.627 0.631 0.583
```

=====

DFT (PBE) results for a relaxed RbAlSi crystal.

Summary:
* energy: -3.24 eV per atom
* volume: 98.1 Å³/f.u.
* uncorrected formation energy: 0.14 eV per atom
* calculated density: 2379 kg/m³

CIF file:
```
data_RbAlSi
_chemical_formula_sum 'Rb4 Al4 Si4'
_symmetry_space_group_name_H-M 'P 1 21/c 1'
_symmetry_Int_Tables_number 14
_cell_length_a 7.341
_cell_length_b 8.321
_cell_length_c 7.442
_cell_angle_alpha 90.00
_cell_angle_beta 120.31
_cell_angle_gamma 90.00
loop_
_symmetry_equiv_pos_as_xyz
'x,y,z'
'-x,-y,-z'
'-x,y+1/2,-z+1/2'
'x,-y+1/2,z+1/2'
loop_
_atom_site_label
_atom_site_fract_x
_atom_site_fract_y
_atom_site_fract_z
Rb1 0.054 0.249 0.045
Al1 0.454 0.623 0.381
Si1 0.450 0.619 0.044
```

=====

DFT (PBE) results for a relaxed RbAlSi crystal.

Summary:
* energy: -3.00 eV per atom
* volume: 76.2 Å³/f.u.
* uncorrected formation energy: 0.37 eV per atom
* calculated density: 3062 kg/m³

CIF file:
```
data_RbAlSi
_chemical_formula_sum 'Rb2 Al2 Si2'
_symmetry_space_group_name_H-M 'P 63 m c'
_symmetry_Int_Tables_number 186
_symmetry_space_group_name_Hall 'P 6c -2c'
_cell_length_a 4.8595
_cell_length_b 4.8595
_cell_length_c 7.4527
_cell_angle_alpha 90.00
_cell_angle_beta 90.00
_cell_angle_gamma 120.00
loop_
_atom_site_label
_atom_site_fract_x
_atom_site_fract_y
_atom_site_fract_z
Rb1 0.0000 0.0000 0.0000
Al1 0.3333 0.6667 0.3012
Si1 0.3333 0.6667 0.6971
```

=====

DFT (PBE) results for a relaxed RbAlSi crystal.

Summary:
* energy: -3.34 eV per atom
* volume: 86.3 Å³/f.u.
* uncorrected formation energy: 0.04 eV per atom
* calculated density: 2705 kg/m³

CIF file:
```
data_RbAlSi
_chemical_formula_sum 'Rb2 Al2 Si2'
_symmetry_space_group_name_H-M 'P -1'
_symmetry_Int_Tables_number 2
_cell_length_a 4.272
_cell_length_b 6.027
_cell_length_c 7.267
_cell_angle_alpha 98.51
_cell_angle_beta 102.03
_cell_angle_gamma 105.13
loop_
_symmetry_equiv_pos_as_xyz
'x,y,z'
'-x,-y,-z'
loop_
_atom_site_label
_atom_site_fract_x
_atom_site_fract_y
_atom_site_fract_z
Rb1 0.242 0.215 0.369
Al1 0.471 0.780 0.042
Si1 0.051 0.391 0.849
```

=====

DFT (PBE) results for a relaxed RbAlSi crystal.

Summary:
* energy: -3.31 eV per atom
* volume: 87.8 Å³/f.u.
* uncorrected formation energy: 0.06 eV per atom
* calculated density: 2659 kg/m³

CIF file:
```
data_RbAlSi
_chemical_formula_sum 'Rb2 Al2 Si2'
_symmetry_space_group_name_H-M 'P 1'
_symmetry_Int_Tables_number 1
_cell_length_a 4.259
_cell_length_b 6.028
_cell_length_c 7.530
_cell_angle_alpha 94.56
_cell_angle_beta 103.71
_cell_angle_gamma 108.53
loop_
_symmetry_equiv_pos_as_xyz
'x,y,z'
loop_
_atom_site_label
_atom_site_fract_x
_atom_site_fract_y
_atom_site_fract_z
Rb1 0.000 0.000 0.000
Rb2 0.469 0.571 0.286
Al1 0.200 0.582 0.695
Al2 0.808 0.165 0.499
Si1 0.277 0.994 0.609
Si2 0.645 0.386 0.791
```

=====

DFT (PBE) results for a relaxed RbAlSi crystal.

Summary:
* energy: -3.31 eV per atom
* volume: 97.0 Å³/f.u.
* uncorrected formation energy: 0.07 eV per atom
* calculated density: 2405 kg/m³

CIF file:
```
data_RbAlSi
_chemical_formula_sum 'Rb4 Al4 Si4'
_symmetry_space_group_name_H-M 'C 1 2/m 1'
_symmetry_Int_Tables_number 12
_cell_length_a 14.725
_cell_length_b 4.193
_cell_length_c 6.478
_cell_angle_alpha 90.00
_cell_angle_beta 103.98
_cell_angle_gamma 90.00
loop_
_symmetry_equiv_pos_as_xyz
'x,y,z'
'-x,-y,-z'
'-x,y,-z'
'x,-y,z'
'x+1/2,y+1/2,z'
'-x+1/2,-y+1/2,-z'
'-x+1/2,y+1/2,-z'
'x+1/2,-y+1/2,z'
loop_
_atom_site_label
_atom_site_fract_x
_atom_site_fract_y
_atom_site_fract_z
Rb1 0.083 0.000 0.303
Al1 0.221 0.000 0.876
Si1 0.132 0.500 0.810
```

=====

DFT (PBE) results for a relaxed RbAlSi crystal.

Summary:
* energy: -3.09 eV per atom
* volume: 88.2 Å³/f.u.
* uncorrected formation energy: 0.28 eV per atom
* calculated density: 2646 kg/m³

CIF file:
```
data_RbAlSi
_chemical_formula_sum 'Rb4 Al4 Si4'
_symmetry_space_group_name_H-M 'C m m e'
_symmetry_Int_Tables_number 67
_symmetry_space_group_name_Hall '-C 2a 2'
_cell_length_a 7.109
_cell_length_b 12.665
_cell_length_c 3.918
_cell_angle_alpha 90.00
_cell_angle_beta 90.00
_cell_angle_gamma 90.00
loop_
_atom_site_label
_atom_site_fract_x
_atom_site_fract_y
_atom_site_fract_z
Rb1 0.250 0.000 0.000
Al1 0.250 0.250 0.500
Si1 0.000 0.250 0.041
```

=====

DFT (PBE) results for a relaxed RbAlSi crystal.

Summary:
* energy: -3.31 eV per atom
* volume: 87.6 Å³/f.u.
* uncorrected formation energy: 0.07 eV per atom
* calculated density: 2664 kg/m³

CIF file:
```
data_RbAlSi
_chemical_formula_sum 'Rb4 Al4 Si4'
_symmetry_space_group_name_H-M 'C 1 2/m 1'
_symmetry_Int_Tables_number 12
_cell_length_a 11.247
_cell_length_b 4.260
_cell_length_c 8.621
_cell_angle_alpha 90.00
_cell_angle_beta 121.97
_cell_angle_gamma 90.00
loop_
_symmetry_equiv_pos_as_xyz
'x,y,z'
'-x,-y,-z'
'-x,y,-z'
'x,-y,z'
'x+1/2,y+1/2,z'
'-x+1/2,-y+1/2,-z'
'-x+1/2,y+1/2,-z'
'x+1/2,-y+1/2,z'
loop_
_atom_site_label
_atom_site_fract_x
_atom_site_fract_y
_atom_site_fract_z
Rb1 0.071 0.000 0.352
Al1 0.232 0.500 0.853
Si1 0.122 0.500 0.049
```

=====

DFT (PBE) results for a relaxed RbAl2Si2 crystal.

Summary:
* energy: -3.74 eV per atom
* volume: 111.9 Å³/f.u.
* uncorrected formation energy: 0.12 eV per atom
* calculated density: 2903 kg/m³

CIF file:
```
data_RbAl2Si2
_chemical_formula_sum 'Rb2 Al4 Si4'
_symmetry_space_group_name_H-M 'I 4/m m m'
_symmetry_Int_Tables_number 139
_symmetry_space_group_name_Hall '-I 4 2'
_cell_length_a 4.514
_cell_length_b 4.514
_cell_length_c 10.980
_cell_angle_alpha 90.00
_cell_angle_beta 90.00
_cell_angle_gamma 90.00
loop_
_atom_site_label
_atom_site_fract_x
_atom_site_fract_y
_atom_site_fract_z
Rb1 0.000 0.000 0.000
Al1 0.000 0.000 0.374
Si1 0.000 0.500 0.250
```